Record 1
The following is a PBE calculation of crystalline AlIn2SnSe6 at its relaxed geometry, from the Alexandria database.

a = 7.189 Å, b = 9.391 Å, c = 9.391 Å
α = 93.06°, β = 75.74°, γ = 75.74°
Fractional coordinates of all 20 atoms:
Al: 0.250 0.165 0.835
Al: 0.750 0.835 0.165
In: 0.363 0.697 0.514
In: 0.137 0.486 0.303
In: 0.637 0.303 0.486
In: 0.863 0.514 0.697
Sn: 0.250 0.907 0.093
Sn: 0.750 0.093 0.907
Se: 0.165 0.931 0.811
Se: 0.335 0.189 0.069
Se: 0.835 0.069 0.189
Se: 0.665 0.811 0.931
Se: 0.434 0.907 0.356
Se: 0.066 0.644 0.093
Se: 0.566 0.093 0.644
Se: 0.934 0.356 0.907
Se: 0.981 0.713 0.537
Se: 0.519 0.463 0.287
Se: 0.019 0.287 0.463
Se: 0.481 0.537 0.713

Properties
raw total energy = -39.09 eV per formula unit
mass density = 4.77 g cm⁻³

***

Record 2
The following is a PBE calculation of crystalline Al2InSnSe6 at its relaxed geometry, from the Alexandria database.

a = 6.849 Å, b = 8.925 Å, c = 8.925 Å
α = 86.51°, β = 80.74°, γ = 80.74°
Fractional coordinates of all 20 atoms:
Al: 0.204 0.774 0.601
Al: 0.296 0.399 0.226
Al: 0.796 0.226 0.399
Al: 0.704 0.601 0.774
In: 0.250 0.276 0.724
In: 0.750 0.724 0.276
Sn: 0.250 0.897 0.103
Sn: 0.750 0.103 0.897
Se: 0.147 0.971 0.789
Se: 0.353 0.211 0.029
Se: 0.853 0.029 0.211
Se: 0.647 0.789 0.971
Se: 0.389 0.888 0.383
Se: 0.111 0.617 0.112
Se: 0.611 0.112 0.617
Se: 0.889 0.383 0.888
Se: 0.886 0.717 0.558
Se: 0.614 0.442 0.283
Se: 0.114 0.283 0.442
Se: 0.386 0.558 0.717

Properties
raw total energy = -40.90 eV per formula unit
mass density = 4.76 g cm⁻³

***

Record 3
The following is a PBE calculation of crystalline SrAlInSe2 at its relaxed geometry, from the Alexandria database.

a = 5.050 Å, b = 5.904 Å, c = 5.050 Å
α = 90.00°, β = 90.00°, γ = 90.00°
Fractional coordinates of all 5 atoms:
Sr: 0.000 0.500 0.000
Al: 0.000 0.000 0.000
Se: 0.000 0.000 0.500
Se: 0.500 0.000 0.000
In: 0.500 0.500 0.500

Properties
raw total energy = -15.90 eV per formula unit
mass density = 4.27 g cm⁻³

***

Record 4
The following is a PBE calculation of crystalline TbAlIn2Se6 at its relaxed geometry, from the Alexandria database.

a = 7.039 Å, b = 9.773 Å, c = 9.773 Å
α = 90.09°, β = 75.69°, γ = 75.69°
Fractional coordinates of all 20 atoms:
Tb: 0.250 0.913 0.087
Tb: 0.750 0.087 0.913
Al: 0.250 0.159 0.841
Al: 0.750 0.841 0.159
In: 0.384 0.679 0.488
In: 0.116 0.512 0.321
In: 0.616 0.321 0.512
In: 0.884 0.488 0.679
Se: 0.170 0.937 0.812
Se: 0.330 0.188 0.063
Se: 0.830 0.063 0.188
Se: 0.670 0.812 0.937
Se: 0.431 0.893 0.343
Se: 0.069 0.657 0.107
Se: 0.569 0.107 0.657
Se: 0.931 0.343 0.893
Se: 0.982 0.704 0.549
Se: 0.518 0.451 0.296
Se: 0.018 0.296 0.451
Se: 0.482 0.549 0.704

Properties
raw total energy = -43.70 eV per formula unit
mass density = 4.69 g cm⁻³

***

Look up the mass density of the third one.
4.27 g cm⁻³